1.
Density functional theory data (PBE) for an optimized crystal structure of NaCo2I.

a b c (Å): 7.6390 7.6390 6.0948
angles (deg): 51.19 51.19 90.00
Last column: nearest neighbours and their distance in Å.
Atoms (fractional coordinates):
I 0.0000 0.0000 0.0000  4 Co 2.51
I 0.7500 0.2500 0.5000  4 Co 2.51
Na 0.5000 0.5000 0.0000  2 I 2.82, 4 Co 3.12
Na 0.2500 0.7500 0.5000  2 I 2.82, 4 Co 3.12
Co 0.6839 0.1250 0.2500  2 I 2.51
Co 0.0661 0.6250 0.2500  2 I 2.51
Co 0.3750 0.3161 0.7500  2 I 2.51
Co 0.8750 0.9339 0.7500  2 I 2.51

**Crystal system**: tetragonal
**Raw formation energy**: 0.909 eV per atom
**Energy relative to the lowest polymorph listed for this composition**: 0.089 eV/atom

2.
Density functional theory data (PBE) for an optimized crystal structure of NaCoI2.

a b c (Å): 4.1492 4.1492 9.1252
angles (deg): 76.86 76.86 60.00
Last column: nearest neighbours and their distance in Å.
Atoms (fractional coordinates):
I 0.1116 0.1116 0.6653  3 Co 2.80, 1 Na 2.95
I 0.8884 0.8884 0.3347  3 Co 2.80, 1 Na 2.95
Na 0.0000 0.0000 0.0000  2 I 2.95
Co 0.5000 0.5000 0.5000  6 I 2.80

**Crystal system**: trigonal
**Raw formation energy**: -0.134 eV per atom
**Energy relative to the lowest polymorph listed for this composition**: 0.190 eV/atom

3.
Density functional theory data (PBE) for an optimized crystal structure of NaCo3I.

a b c (Å): 4.6943 4.6943 4.6943
angles (deg): 90.00 90.00 90.00
Last column: nearest neighbours and their distance in Å.
Atoms (fractional coordinates):
I 0.0000 0.0000 0.0000  6 Co 2.35
Na 0.5000 0.5000 0.5000  12 Co 3.32
Co 0.0000 0.5000 0.0000  2 I 2.35
Co 0.0000 0.0000 0.5000  2 I 2.35
Co 0.5000 0.0000 0.0000  2 I 2.35

**Crystal system**: cubic
**Raw formation energy**: 1.180 eV per atom
**Energy relative to the lowest polymorph listed for this composition**: 0.000 eV/atom

4.
Density functional theory data (PBE) for an optimized crystal structure of NaCoI4.

a b c (Å): 7.3042 7.3042 10.2370
angles (deg): 90.00 90.00 96.02
Last column: nearest neighbours and their distance in Å.
Atoms (fractional coordinates):
Na 0.8003 0.1997 0.7500  4 I 3.11-3.24
Na 0.1997 0.8003 0.2500  4 I 3.11-3.24
Co 0.6417 0.6417 0.0000  4 I 2.52-2.53
Co 0.3583 0.3583 0.5000  4 I 2.52-2.53
I 0.1916 0.2389 0.2957  1 Co 2.53
I 0.8084 0.7611 0.7957  1 Co 2.53
I 0.2389 0.1916 0.7043  1 Co 2.53
I 0.6954 0.3204 0.4712  1 Co 2.52
I 0.7611 0.8084 0.2043  1 Co 2.53
I 0.6796 0.3046 0.0288  1 Co 2.52
I 0.3204 0.6954 0.5288  1 Co 2.52
I 0.3046 0.6796 0.9712  1 Co 2.52

**Crystal system**: orthorhombic
**Raw formation energy**: -0.381 eV per atom